<w>
Computed, not measured: a PBEsol-optimized structure of FeSbBr2 at the meta-GGA SCAN level of DFT.

The structure in POSCAR format:
```
FeSbBr2
1.0
-2.774 1.213 1.535
-2.781 -0.376 -4.727
-0.649 -4.787 2.612
Fe Sb Br
1 1 2
direct
0.000 0.993 0.426 Fe
0.500 0.325 0.699 Sb
0.000 0.026 0.005 Br
0.500 0.657 0.369 Br
```

Computed properties:
Crystal system ... monoclinic
Magnetization ... 2.9 μB per formula unit
Volume ... 98.1 Å³/cell
Mass density ... 5.71 Mg/m³



<x>
Computed, not measured: a PBEsol-optimized structure of FeSbBr2 at the meta-GGA SCAN level of DFT.

The structure in POSCAR format:
```
FeSbBr2
1.0
3.150 0.000 0.000
0.000 3.150 0.000
0.000 0.000 9.630
Sb Br Fe
1 2 1
direct
0.500 0.500 0.500 Sb
0.000 0.000 0.835 Br
0.000 0.000 0.165 Br
0.500 0.500 0.000 Fe
```

Computed properties:
Crystal system ... tetragonal
Magnetization ... 3.5 μB per formula unit
Volume ... 95.6 Å³/cell
Mass density ... 5.86 Mg/m³



Sorted by energy, starting with the most stable: <w>, <x>.



<w>
Computed, not measured: a PBEsol-optimized structure of Sc2FeBr at the meta-GGA SCAN level of DFT.

The structure in POSCAR format:
```
Sc2FeBr
1.0
4.391 0.000 0.000
-2.196 4.297 -0.016
0.000 2.257 3.767
Br Sc Fe
1 2 1
direct
0.500 0.000 0.500 Br
0.750 0.500 0.750 Sc
0.250 0.500 0.250 Sc
0.000 0.000 0.000 Fe
```

Computed properties:
Crystal system ... tetragonal
Magnetization ... 0.8 μB per formula unit
Volume ... 71.2 Å³/cell
Mass density ... 5.26 Mg/m³



<x>
Computed, not measured: a PBEsol-optimized structure of Sc2FeBr at the meta-GGA SCAN level of DFT.

The structure in POSCAR format:
```
Sc2FeBr
1.0
-0.153 -4.071 2.240
2.105 -0.468 4.119
-2.538 -0.429 3.872
Br Sc Fe
1 2 1
direct
0.500 0.500 0.500 Br
0.000 0.000 0.000 Sc
0.750 0.750 0.750 Sc
0.250 0.250 0.250 Fe
```

Computed properties:
Crystal system ... cubic
Magnetization ... 0.6 μB per formula unit
Volume ... 71.1 Å³/cell
Mass density ... 5.27 Mg/m³



<y>
Computed, not measured: a PBEsol-optimized structure of Sc2FeBr at the meta-GGA SCAN level of DFT.

The structure in POSCAR format:
```
Sc2FeBr
1.0
3.655 0.000 0.000
0.000 3.655 0.000
0.000 0.000 5.783
Br Sc Fe
1 2 1
direct
0.000 0.000 0.428 Br
0.500 0.500 0.271 Sc
0.000 0.000 0.908 Sc
0.500 0.500 0.892 Fe
```

Computed properties:
Crystal system ... tetragonal
Magnetization ... 0.6 μB per formula unit
Volume ... 77.3 Å³/cell
Mass density ... 4.85 Mg/m³



Sorted by energy, starting with the most stable: <y>, <w>, <x>.



<w>
Computed, not measured: a PBEsol-optimized structure of Fe3SiBr at the meta-GGA SCAN level of DFT.

The structure in POSCAR format:
```
Fe3SiBr
1.0
-0.439 -3.883 1.741
3.783 -1.157 -1.628
1.948 1.373 3.552
Fe Br Si
3 1 1
direct
0.000 0.000 0.500 Fe
0.000 0.500 0.000 Fe
0.500 0.000 0.000 Fe
0.000 0.000 0.000 Br
0.500 0.500 0.500 Si
```

Computed properties:
Crystal system ... cubic
Magnetization ... 6.9 μB per formula unit
Volume ... 78.3 Å³/cell
Mass density ... 5.85 Mg/m³



<x>
Computed, not measured: a PBEsol-optimized structure of Fe3SiBr at the meta-GGA SCAN level of DFT.

The structure in POSCAR format:
```
Fe3SiBr
1.0
4.301 0.000 0.000
0.000 4.301 0.000
0.000 0.000 4.301
Fe Si Br
3 1 1
direct
0.500 0.000 0.000 Fe
0.000 0.500 0.000 Fe
0.000 0.000 0.500 Fe
0.000 0.000 0.000 Si
0.500 0.500 0.500 Br
```

Computed properties:
Crystal system ... cubic
Magnetization ... 6.6 μB per formula unit
Volume ... 79.6 Å³/cell
Mass density ... 5.75 Mg/m³



Sorted by energy, starting with the most stable: <x>, <w>.



<w>
Computed, not measured: a PBEsol-optimized structure of FeSiBr2 at the meta-GGA SCAN level of DFT.

The structure in POSCAR format:
```
FeSiBr2
1.0
-1.161 2.768 -1.167
0.468 -2.608 -2.209
-8.278 -2.812 1.565
Br Si Fe
2 1 1
direct
0.000 0.000 0.939 Br
0.500 0.000 0.322 Br
0.500 0.000 0.717 Si
0.000 0.000 0.522 Fe
```

Computed properties:
Crystal system ... orthorhombic
Magnetization ... 3.5 μB per formula unit
Volume ... 87.3 Å³/cell
Mass density ... 4.64 Mg/m³



<x>
Computed, not measured: a PBEsol-optimized structure of FeSiBr2 at the meta-GGA SCAN level of DFT.

The structure in POSCAR format:
```
FeSiBr2
1.0
-1.620 -2.785 -0.999
2.553 -0.637 3.330
-6.227 2.702 2.567
Br Si Fe
2 1 1
direct
0.970 0.939 0.095 Br
0.137 0.274 0.655 Br
0.843 0.685 0.375 Si
0.551 0.101 0.375 Fe
```

Computed properties:
Crystal system ... monoclinic
Magnetization ... 1.8 μB per formula unit
Volume ... 90.3 Å³/cell
Mass density ... 4.48 Mg/m³



Sorted by energy, starting with the most stable: <x>, <w>.



<w>
Computed, not measured: a PBEsol-optimized structure of Ta2FeBr at the meta-GGA SCAN level of DFT.

The structure in POSCAR format:
```
Ta2FeBr
1.0
-1.101 4.074 1.065
0.955 -2.931 3.304
3.742 0.443 2.177
Ta Br Fe
2 1 1
direct
0.750 0.500 0.750 Ta
0.250 0.500 0.250 Ta
0.500 0.000 0.500 Br
0.000 0.000 0.000 Fe
```

Computed properties:
Crystal system ... tetragonal
Magnetization ... 2.0 μB per formula unit
Volume ... 62.7 Å³/cell
Mass density ... 13.19 Mg/m³



<x>
Computed, not measured: a PBEsol-optimized structure of Ta2FeBr at the meta-GGA SCAN level of DFT.

The structure in POSCAR format:
```
Ta2FeBr
1.0
-0.691 1.200 3.463
1.875 -2.912 1.383
3.264 3.303 -2.501
Ta Fe Br
2 1 1
direct
0.000 0.000 0.000 Ta
0.750 0.250 0.500 Ta
0.250 0.750 0.500 Fe
0.500 0.500 0.000 Br
```

Computed properties:
Crystal system ... tetragonal
Magnetization ... 2.4 μB per formula unit
Volume ... 63.5 Å³/cell
Mass density ... 13.01 Mg/m³



Sorted by energy, starting with the most stable: <w>, <x>.



<w>
Computed, not measured: a PBEsol-optimized structure of Ta2FeBr at the meta-GGA SCAN level of DFT.

The structure in POSCAR format:
```
Ta2FeBr
1.0
-0.513 -1.149 2.691
-0.758 -1.825 -2.218
7.779 -3.314 0.067
Ta Br Fe
2 1 1
direct
0.500 0.500 0.752 Ta
0.000 0.000 0.016 Ta
0.000 0.000 0.494 Br
0.500 0.500 0.238 Fe
```

Computed properties:
Crystal system ... orthorhombic
Magnetization ... 2.5 μB per formula unit
Volume ... 68.6 Å³/cell
Mass density ... 12.05 Mg/m³



<x>
Computed, not measured: a PBEsol-optimized structure of Ta2FeBr at the meta-GGA SCAN level of DFT.

The structure in POSCAR format:
```
Ta2FeBr
1.0
-1.380 -2.356 -3.586
2.796 -2.923 -1.988
-0.741 -4.431 0.364
Ta Br Fe
2 1 1
direct
0.750 0.750 0.750 Ta
0.000 0.000 0.000 Ta
0.500 0.500 0.500 Br
0.250 0.250 0.250 Fe
```

Computed properties:
Crystal system ... cubic
Magnetization ... 3.5 μB per formula unit
Volume ... 64.7 Å³/cell
Mass density ... 12.76 Mg/m³



Sorted by energy, starting with the most stable: <w>, <x>.



<w>
Computed, not measured: a PBEsol-optimized structure of TaFe2Br at the meta-GGA SCAN level of DFT.

The structure in POSCAR format:
```
TaFe2Br
1.0
-2.999 2.892 -1.162
0.084 -1.538 -4.042
-0.741 -2.671 3.315
Fe Br Ta
2 1 1
direct
0.750 0.250 0.500 Fe
0.000 0.000 0.000 Fe
0.250 0.750 0.500 Br
0.500 0.500 0.000 Ta
```

Computed properties:
Crystal system ... tetragonal
Magnetization ... 4.6 μB per formula unit
Volume ... 57.1 Å³/cell
Mass density ... 10.83 Mg/m³



<x>
Computed, not measured: a PBEsol-optimized structure of TaFe2Br at the meta-GGA SCAN level of DFT.

The structure in POSCAR format:
```
TaFe2Br
1.0
-1.041 1.749 -2.160
-1.057 -3.436 -2.272
-4.015 -0.029 1.912
Fe Ta Br
2 1 1
direct
0.000 0.000 0.000 Fe
0.500 0.000 0.500 Fe
0.500 0.500 0.000 Ta
0.000 0.500 0.500 Br
```

Computed properties:
Crystal system ... orthorhombic
Magnetization ... 4.4 μB per formula unit
Volume ... 56.1 Å³/cell
Mass density ... 11.02 Mg/m³



Sorted by energy, starting with the most stable: <x>, <w>.



<w>
Computed, not measured: a PBEsol-optimized structure of Fe2TcBr at the meta-GGA SCAN level of DFT.

The structure in POSCAR format:
```
Fe2TcBr
1.0
2.880 0.000 0.000
0.000 4.296 0.000
0.000 0.000 4.368
Fe Tc Br
2 1 1
direct
0.500 0.500 0.000 Fe
0.000 0.000 0.000 Fe
0.500 0.000 0.500 Tc
0.000 0.500 0.500 Br
```

Computed properties:
Crystal system ... orthorhombic
Magnetization ... 6.2 μB per formula unit
Volume ... 54.0 Å³/cell
Mass density ... 8.90 Mg/m³



<x>
Computed, not measured: a PBEsol-optimized structure of Fe2TcBr at the meta-GGA SCAN level of DFT.

The structure in POSCAR format:
```
Fe2TcBr
1.0
-2.112 1.088 1.672
-2.918 -0.992 -3.040
1.953 -3.901 2.480
Tc Fe Br
1 2 1
direct
0.509 0.509 0.017 Tc
0.736 0.236 0.473 Fe
0.001 0.001 0.001 Fe
0.254 0.754 0.508 Br
```

Computed properties:
Crystal system ... orthorhombic
Magnetization ... 6.1 μB per formula unit
Volume ... 53.9 Å³/cell
Mass density ... 8.92 Mg/m³



<y>
Computed, not measured: a PBEsol-optimized structure of Fe2TcBr at the meta-GGA SCAN level of DFT.

The structure in POSCAR format:
```
Fe2TcBr
1.0
2.867 0.000 0.000
0.000 2.867 0.000
0.000 0.000 6.575
Tc Br Fe
1 1 2
direct
0.500 0.500 0.000 Tc
0.500 0.500 0.500 Br
0.000 0.000 0.241 Fe
0.000 0.000 0.759 Fe
```

Computed properties:
Crystal system ... tetragonal
Magnetization ... 4.8 μB per formula unit
Volume ... 54.1 Å³/cell
Mass density ... 8.90 Mg/m³



Sorted by energy, starting with the most stable: <y>, <w>, <x>.



<w>
Computed, not measured: a PBEsol-optimized structure of FeTe2Br at the meta-GGA SCAN level of DFT.

The structure in POSCAR format:
```
FeTe2Br
1.0
3.484 0.000 0.000
1.742 3.017 0.000
1.742 1.006 8.939
Fe Br Te
1 1 2
direct
0.749 0.749 0.753 Fe
0.470 0.470 0.590 Br
0.256 0.256 0.231 Te
0.025 0.025 0.926 Te
```

Computed properties:
Crystal system ... trigonal
Magnetization ... 1.9 μB per formula unit
Volume ... 94.0 Å³/cell
Mass density ... 6.91 Mg/m³



<x>
Computed, not measured: a PBEsol-optimized structure of FeTe2Br at the meta-GGA SCAN level of DFT.

The structure in POSCAR format:
```
FeTe2Br
1.0
-3.352 -1.412 3.475
0.411 -4.501 2.208
1.366 -0.316 4.831
Te Br Fe
2 1 1
direct
0.000 0.000 0.000 Te
0.750 0.750 0.750 Te
0.500 0.500 0.500 Br
0.250 0.250 0.250 Fe
```

Computed properties:
Crystal system ... cubic
Magnetization ... 3.3 μB per formula unit
Volume ... 90.0 Å³/cell
Mass density ... 7.21 Mg/m³



Sorted by energy, starting with the most stable: <w>, <x>.



<w>
Computed, not measured: a PBEsol-optimized structure of TlFe2Br at the meta-GGA SCAN level of DFT.

The structure in POSCAR format:
```
TlFe2Br
1.0
-0.383 -0.138 3.136
-3.045 -0.750 -0.404
1.817 -7.327 -0.100
Tl Fe Br
1 2 1
direct
0.000 0.000 0.432 Tl
0.500 0.500 0.185 Fe
0.000 0.000 0.039 Fe
0.500 0.500 0.844 Br
```

Computed properties:
Crystal system ... tetragonal
Magnetization ... 6.1 μB per formula unit
Volume ... 75.5 Å³/cell
Mass density ... 8.71 Mg/m³



<x>
Computed, not measured: a PBEsol-optimized structure of TlFe2Br at the meta-GGA SCAN level of DFT.

The structure in POSCAR format:
```
TlFe2Br
1.0
3.113 0.000 0.000
0.000 3.113 0.000
0.000 0.000 6.822
Fe Tl Br
2 1 1
direct
0.000 0.000 0.277 Fe
0.000 0.000 0.723 Fe
0.500 0.500 0.000 Tl
0.500 0.500 0.500 Br
```

Computed properties:
Crystal system ... tetragonal
Magnetization ... 5.9 μB per formula unit
Volume ... 66.1 Å³/cell
Mass density ... 9.95 Mg/m³



Sorted by energy, starting with the most stable: <w>, <x>.



<w>
Computed, not measured: a PBEsol-optimized structure of Y2FeBr at the meta-GGA SCAN level of DFT.

The structure in POSCAR format:
```
Y2FeBr
1.0
-2.170 -0.072 -4.451
-3.055 -3.707 -1.206
-4.867 0.830 -0.396
Y Fe Br
2 1 1
direct
0.750 0.750 0.750 Y
0.250 0.250 0.250 Y
0.500 0.500 0.500 Fe
0.000 0.000 0.000 Br
```

Computed properties:
Crystal system ... cubic
Magnetization ... 0.9 μB per formula unit
Volume ... 85.9 Å³/cell
Mass density ... 6.06 Mg/m³



<x>
Computed, not measured: a PBEsol-optimized structure of Y2FeBr at the meta-GGA SCAN level of DFT.

The structure in POSCAR format:
```
Y2FeBr
1.0
-3.025 -1.303 2.215
-2.158 -0.570 -3.283
2.002 -5.313 -0.392
Br Fe Y
1 1 2
direct
0.000 0.000 0.375 Br
0.500 0.500 0.875 Fe
0.500 0.500 0.375 Y
0.000 0.000 0.875 Y
```

Computed properties:
Crystal system ... tetragonal
Magnetization ... 2.4 μB per formula unit
Volume ... 89.7 Å³/cell
Mass density ... 5.81 Mg/m³



Sorted by energy, starting with the most stable: <x>, <w>.



<w>
Computed, not measured: a PBEsol-optimized structure of GaSbI2Br at the meta-GGA SCAN level of DFT.

The structure in POSCAR format:
```
GaSbI2Br
1.0
-2.505 1.975 4.342
-3.870 -3.709 -0.546
2.849 -3.445 3.211
Ga Br Sb I
1 1 1 2
direct
0.000 0.000 0.000 Ga
0.500 0.500 0.500 Br
0.000 0.000 0.500 Sb
0.500 0.000 0.000 I
0.000 0.500 0.000 I
```

Computed properties:
Crystal system ... tetragonal
Magnetization ... 0.0 μB per formula unit
Volume ... 159.8 Å³/cell
Mass density ... 5.46 Mg/m³



<x>
Computed, not measured: a PBEsol-optimized structure of GaSbI2Br at the meta-GGA SCAN level of DFT.

The structure in POSCAR format:
```
GaSbI2Br
1.0
-4.122 -2.265 2.910
3.889 -3.133 3.070
0.391 4.334 3.928
I Sb Br Ga
2 1 1 1
direct
0.000 0.000 0.500 I
0.000 0.500 0.000 I
0.500 0.000 0.000 Sb
0.000 0.000 0.000 Br
0.500 0.500 0.500 Ga
```

Computed properties:
Crystal system ... tetragonal
Magnetization ... 1.7 μB per formula unit
Volume ... 190.1 Å³/cell
Mass density ... 4.59 Mg/m³



Sorted by energy, starting with the most stable: <w>, <x>.



<w>
Computed, not measured: a PBEsol-optimized structure of GaSbBr2 at the meta-GGA SCAN level of DFT.

The structure in POSCAR format:
```
GaSbBr2
1.0
-1.761 3.106 0.516
-0.444 1.288 3.340
7.628 6.333 0.522
Br Sb Ga
2 1 1
direct
0.905 0.905 0.284 Br
0.095 0.095 0.716 Br
0.000 0.000 0.000 Sb
0.500 0.500 0.500 Ga
```

Computed properties:
Crystal system ... trigonal
Magnetization ... 0.0 μB per formula unit
Volume ... 109.4 Å³/cell
Mass density ... 5.33 Mg/m³



<x>
Computed, not measured: a PBEsol-optimized structure of GaSbBr2 at the meta-GGA SCAN level of DFT.

The structure in POSCAR format:
```
GaSbBr2
1.0
4.791 0.000 0.000
0.000 4.791 0.000
-2.395 -2.395 9.594
Sb Br Ga
2 4 2
direct
0.000 0.000 0.000 Sb
0.250 0.750 0.500 Sb
0.882 0.375 0.250 Br
0.125 0.118 0.750 Br
0.368 0.875 0.250 Br
0.625 0.632 0.750 Br
0.750 0.250 0.500 Ga
0.500 0.500 0.000 Ga
```

Computed properties:
Crystal system ... tetragonal
Magnetization ... 0.0 μB per formula unit
Volume ... 220.2 Å³/cell
Mass density ... 5.30 Mg/m³



Sorted by energy, starting with the most stable: <w>, <x>.



<w>
Computed, not measured: a PBEsol-optimized structure of TcGeSeBr2 at the meta-GGA SCAN level of DFT.

The structure in POSCAR format:
```
TcGeSeBr2
1.0
-4.036 2.629 1.788
-2.591 -1.116 -4.205
-1.763 -4.205 2.203
Se Br Tc Ge
1 2 1 1
direct
0.500 0.000 0.000 Se
0.000 0.500 0.000 Br
0.000 0.000 0.500 Br
0.500 0.500 0.500 Tc
0.000 0.000 0.000 Ge
```

Computed properties:
Crystal system ... tetragonal
Magnetization ... 5.1 μB per formula unit
Volume ... 131.7 Å³/cell
Mass density ... 5.16 Mg/m³



<x>
Computed, not measured: a PBEsol-optimized structure of TcGeSeBr2 at the meta-GGA SCAN level of DFT.

The structure in POSCAR format:
```
TcGeSeBr2
1.0
4.684 0.000 0.000
0.000 5.045 0.000
0.000 0.000 5.045
Ge Br Tc Se
1 2 1 1
direct
0.500 0.500 0.500 Ge
0.000 0.500 0.000 Br
0.000 0.000 0.500 Br
0.000 0.000 0.000 Tc
0.500 0.000 0.000 Se
```

Computed properties:
Crystal system ... tetragonal
Magnetization ... 0.5 μB per formula unit
Volume ... 119.2 Å³/cell
Mass density ... 5.70 Mg/m³



Sorted by energy, starting with the most stable: <x>, <w>.